The following is a PBE calculation of HgAu3 after structural relaxation, from the Alexandria database.

## Properties
**E_tot**: -19.9 eV per cell
**Density of states at the Fermi level**: 1.76 states/eV per cell
**Formation enthalpy at 0 K**: 0.043 eV/atom
**Mass density**: 17.36 g/cm3

Structure (CIF):
```
data_HgAu3
_chemical_formula_sum 'Hg2 Au6'
_symmetry_space_group_name_H-M 'P 63/m m c'
_symmetry_Int_Tables_number 194
_symmetry_space_group_name_Hall '-P 6c 2c'
_cell_length_a 5.9586
_cell_length_b 5.9586
_cell_length_c 4.9250
_cell_angle_alpha 90.00
_cell_angle_beta 90.00
_cell_angle_gamma 120.00
loop_
_atom_site_label
_atom_site_type_symbol
_atom_site_fract_x
_atom_site_fract_y
_atom_site_fract_z
Hg1 Hg 0.3333 0.6667 0.2500
Au1 Au 0.1650 0.3300 0.7500
```

The following is a PBE calculation of HgAu2 after structural relaxation, from the Alexandria database.

## Properties
**E_tot**: -13.2 eV per cell
**Density of states at the Fermi level**: 1.54 states/eV per cell
**Formation enthalpy at 0 K**: 0.093 eV/atom
**Mass density**: 16.20 g/cm3

Structure (CIF):
```
data_HgAu2
_chemical_formula_sum 'Hg2 Au4'
_symmetry_space_group_name_H-M 'I m m m'
_symmetry_Int_Tables_number 71
_symmetry_space_group_name_Hall '-I 2 2'
_cell_length_a 3.059
_cell_length_b 4.772
_cell_length_c 8.348
_cell_angle_alpha 90.00
_cell_angle_beta 90.00
_cell_angle_gamma 90.00
loop_
_atom_site_label
_atom_site_type_symbol
_atom_site_fract_x
_atom_site_fract_y
_atom_site_fract_z
Hg1 Hg 0.000 0.000 0.000
Au1 Au 0.000 0.500 0.189
```

The following is a PBE calculation of HgAu3 after structural relaxation, from the Alexandria database.

## Properties
**E_tot**: -19.9 eV per cell
**Density of states at the Fermi level**: 1.65 states/eV per cell
**Formation enthalpy at 0 K**: 0.052 eV/atom
**Mass density**: 17.24 g/cm3

Structure (CIF):
```
data_HgAu3
_chemical_formula_sum 'Hg2 Au6'
_symmetry_space_group_name_H-M 'C 1 2/m 1'
_symmetry_Int_Tables_number 12
_symmetry_space_group_name_Hall '-C 2y'
_cell_length_a 9.882
_cell_length_b 3.018
_cell_length_c 5.198
_cell_angle_alpha 90.00
_cell_angle_beta 100.39
_cell_angle_gamma 90.00
loop_
_atom_site_label
_atom_site_type_symbol
_atom_site_fract_x
_atom_site_fract_y
_atom_site_fract_z
Hg1 Hg 0.000 0.000 0.000
Au1 Au 0.000 0.500 0.500
Au2 Au 0.247 0.000 0.745
```

Repeat the third record exactly.
The following is a PBE calculation of HgAu3 after structural relaxation, from the Alexandria database.

## Properties
**E_tot**: -19.9 eV per cell
**Density of states at the Fermi level**: 1.65 states/eV per cell
**Formation enthalpy at 0 K**: 0.052 eV/atom
**Mass density**: 17.24 g/cm3

Structure (CIF):
```
data_HgAu3
_chemical_formula_sum 'Hg2 Au6'
_symmetry_space_group_name_H-M 'C 1 2/m 1'
_symmetry_Int_Tables_number 12
_symmetry_space_group_name_Hall '-C 2y'
_cell_length_a 9.882
_cell_length_b 3.018
_cell_length_c 5.198
_cell_angle_alpha 90.00
_cell_angle_beta 100.39
_cell_angle_gamma 90.00
loop_
_atom_site_label
_atom_site_type_symbol
_atom_site_fract_x
_atom_site_fract_y
_atom_site_fract_z
Hg1 Hg 0.000 0.000 0.000
Au1 Au 0.000 0.500 0.500
Au2 Au 0.247 0.000 0.745
```